No. 1
Entry from Alexandria: a relaxed structure of La4ZnNi3 (PBE).

Summary:
* N(E_F): 7.45 states/eV/cell
* E_tot: -5.097 eV per atom
* calculated volume: 24.224 Å³ per atom

a = 3.929 Å, b = 4.482 Å, c = 11.005 Å
α = 90.00°, β = 90.00°, γ = 90.00°
Positions (direct):
La (0.000, 0.500, 0.850)
La (0.500, 0.500, 0.374)
La (0.000, 0.000, 0.139)
La (0.500, 0.000, 0.630)
Zn (0.500, 0.500, 0.064)
Ni (0.500, 0.000, 0.935)
Ni (0.000, 0.500, 0.574)
Ni (0.000, 0.000, 0.434)



No. 2
Entry from Alexandria: a relaxed structure of ReNiC (PBE).

Summary:
* N(E_F): 4.45 states/eV/cell
* E_tot: -8.882 eV per atom
* calculated volume: 11.060 Å³ per atom

a = 5.890 Å, b = 4.954 Å, c = 4.549 Å
α = 90.00°, β = 90.00°, γ = 90.72°
Positions (direct):
C (0.638, 0.742, 0.498)
C (0.362, 0.258, 0.502)
C (0.138, 0.742, 0.002)
C (0.862, 0.258, 0.998)
Ni (0.376, 0.583, 0.268)
Ni (0.876, 0.583, 0.232)
Ni (0.124, 0.417, 0.768)
Ni (0.624, 0.417, 0.732)
Re (0.401, 0.923, 0.769)
Re (0.901, 0.923, 0.731)
Re (0.599, 0.077, 0.231)
Re (0.099, 0.077, 0.269)



No. 3
Entry from Alexandria: a relaxed structure of SrTc2O6 (PBE).

Summary:
* N(E_F): 6.07 states/eV/cell
* uncorrected formation energy: -1.763 eV per atom
* excess energy over the best structure of this formula in the dataset: 0 meV/atom
* calculated volume: 14.035 Å³ per atom

a = 5.331 Å, b = 7.352 Å, c = 7.352 Å
α = 75.81°, β = 70.32°, γ = 70.32°
Positions (direct):
O (0.046, 0.103, 0.580)
O (0.149, 0.835, 0.883)
O (0.649, 0.883, 0.835)
O (0.351, 0.117, 0.165)
O (0.954, 0.897, 0.420)
O (0.051, 0.431, 0.281)
O (0.949, 0.569, 0.719)
O (0.546, 0.580, 0.103)
O (0.551, 0.281, 0.431)
O (0.449, 0.719, 0.569)
O (0.454, 0.420, 0.897)
O (0.851, 0.165, 0.117)
Sr (0.250, 0.200, 0.800)
Sr (0.750, 0.800, 0.200)
Tc (0.034, 0.815, 0.660)
Tc (0.534, 0.660, 0.815)
Tc (0.466, 0.340, 0.185)
Tc (0.966, 0.185, 0.340)